The following is a DFT calculation (GGA-PBE) of LaPaTiN3 after structural relaxation.

Unit cell a=7.198 b=3.620 c=8.625 alpha=90.00 beta=101.92 gamma=90.00
Space group P2_1/m (No. 11)
Unique sites:
La (0.164, 0.250, 0.148) [2 per cell]
Pa (0.341, 0.750, 0.848) [2 per cell]
Ti (0.072, 0.250, 0.610) [2 per cell]
N (0.115, 0.250, 0.852) [2 per cell]
N (0.162, 0.750, 0.570) [2 per cell]
N (0.440, 0.750, 0.118) [2 per cell]

Formation energy (no corrections) = -1318 meV/atom
Magnetic moment = 0.00 μB/f.u.